Density functional theory data (SCAN) for ZnCoRu at its PBEsol-relaxed geometry.

a = 4.0997 Å, b = 4.0997 Å, c = 2.5226 Å
α = 90.00°, β = 90.00°, γ = 120.00°
Last column: nearest neighbours and their distance in Å.
Space group P-6m2 (No. 187)
Inequivalent atoms, fractional coordinates:
Zn 0.0000 0.0000 0.0000  3 Co 2.37, 2 Zn 2.52
Co 0.3333 0.6667 0.0000  3 Zn 2.37, 2 Co 2.52
Ru 0.6667 0.3333 0.5000  2 Ru 2.52, 6 Zn 2.68, 6 Co 2.68

Summary:
energy of formation = 0.216 eV/atom
crystal system = hexagonal